NaVCl2F | GGA+U | relaxed

Unit cell a=5.056 b=5.056 c=4.099 alpha=90.00 beta=90.00 gamma=90.00
Space group P4/mmm (No. 123)
Asymmetric unit:
Na 0.000 0.000 0.000
V 0.500 0.500 0.500
Cl 0.000 0.500 0.500
F 0.500 0.500 0.000

Output
As for the total DFT energy (no corrections): -4.660 eV/atom.